(1)
The following is a PBE-GGA calculation of a geometry-optimized Dy8Te4PdPt3 structure, from the Alexandria database.

Cell lengths 8.279, 8.746, 8.280 Å; angles 118.24, 120.00, 90.00 degrees
Positions (direct):
Dy1 0.240 0.713 0.974
Dy2 0.239 0.713 0.479
Dy3 0.263 0.288 0.525
Dy4 0.734 0.713 0.974
Dy5 0.266 0.287 0.026
Dy6 0.737 0.712 0.475
Dy7 0.761 0.287 0.521
Dy8 0.760 0.287 0.026
Te1 0.500 0.000 0.000
Te2 0.500 0.000 0.500
Te3 0.000 0.000 0.000
Te4 0.000 0.000 0.500
Pd1 0.000 0.500 0.000
Pt1 0.500 0.500 0.000
Pt2 0.500 0.500 0.500
Pt3 0.000 0.500 0.500

Properties
Its total DFT energy (no corrections) is -0.2120 Ha/atom. The calculation puts the volume at 434.8 Å³/f.u.


(2)
The following is a PBE-GGA calculation of a geometry-optimized Na3Pm3HfS8 structure, from the Alexandria database.

Cell lengths 8.042, 8.042, 8.190 Å; angles 119.42, 90.00, 120.00 degrees
Positions (direct):
Na1 0.000 0.000 0.000
Na2 0.000 0.500 0.000
Na3 0.500 0.500 0.000
Pm1 0.500 0.000 0.500
Pm2 0.500 0.500 0.500
Pm3 0.000 0.500 0.500
Hf1 0.000 0.000 0.500
S1 0.256 0.511 0.267
S2 0.744 0.489 0.733
S3 0.774 0.549 0.283
S4 0.226 0.451 0.717
S5 0.774 0.009 0.283
S6 0.226 0.991 0.717
S7 0.234 0.009 0.283
S8 0.766 0.991 0.717

Properties
Its total DFT energy (no corrections) is -0.2146 Ha/atom. The calculation puts the volume at 377.8 Å³/f.u.


(3)
The following is a PBE-GGA calculation of a geometry-optimized CdSn2Ir structure, from the Alexandria database.

Cell lengths 3.905, 4.720, 5.239 Å; angles 90.00, 111.66, 90.00 degrees
Positions (direct):
Ir1 0.602 0.500 0.387
Sn1 0.312 0.500 0.810
Sn2 0.734 0.000 0.653
Cd1 0.018 0.000 0.215

Properties
The formation energy from the elements is 43 kJ/mol of formula units. The calculation puts the volume at 89.7 Å³/f.u.


(4)
The following is a PBE-GGA calculation of a geometry-optimized LaTb2SmH structure, from the Alexandria database.

Cell lengths 5.092, 5.093, 5.093 Å; angles 90.00, 90.00, 90.00 degrees
Positions (direct):
La1 0.500 0.500 0.500
Tb1 0.000 0.000 0.500
Tb2 0.000 0.500 0.000
Sm1 0.500 0.000 0.000
H1 0.000 0.000 0.000

Properties
Its total DFT energy (no corrections) is -0.1698 Ha/atom. The calculation puts the volume at 132.1 Å³/f.u.


(5)
The following is a PBE-GGA calculation of a geometry-optimized CaLa6Te8 structure, from the Alexandria database.

Cell lengths 9.141, 9.141, 9.141 Å; angles 60.00, 60.00, 60.00 degrees
Positions (direct):
Ca1 0.000 0.000 0.000
La1 0.000 0.500 0.500
La2 0.500 0.000 0.000
La3 0.500 0.500 0.000
La4 0.000 0.000 0.500
La5 0.000 0.500 0.000
La6 0.500 0.000 0.500
Te1 0.750 0.750 0.750
Te2 0.250 0.250 0.250
Te3 0.751 0.249 0.249
Te4 0.249 0.751 0.751
Te5 0.249 0.249 0.751
Te6 0.751 0.751 0.249
Te7 0.751 0.249 0.751
Te8 0.249 0.751 0.249

Properties
Its total DFT energy (no corrections) is -0.1981 Ha/atom. The calculation puts the volume at 540.0 Å³/f.u.


(6)
The following is a PBE-GGA calculation of a geometry-optimized Ge2Bi2Cl structure, from the Alexandria database.

Cell lengths 8.307, 8.307, 3.841 Å; angles 90.00, 90.00, 90.00 degrees
Positions (direct):
Ge1 0.367 0.867 0.000
Ge2 0.867 0.633 0.000
Ge3 0.633 0.133 0.000
Ge4 0.133 0.367 0.000
Bi1 0.148 0.648 0.500
Bi2 0.648 0.852 0.500
Bi3 0.852 0.352 0.500
Bi4 0.352 0.148 0.500
Cl1 0.000 0.000 0.000
Cl2 0.500 0.500 0.000

Properties
The offset from the most stable computed form is 0.90 eV/f.u. The calculation puts the volume at 132.5 Å³/f.u.


(7)
The following is a PBE-GGA calculation of a geometry-optimized Li2IrRu structure, from the Alexandria database.

Cell lengths 5.220, 5.220, 5.220 Å; angles 149.83, 129.25, 60.18 degrees
Positions (direct):
Ir1 0.250 0.750 0.500
Li1 0.003 0.003 0.000
Li2 0.497 0.497 0.000
Ru1 0.750 0.250 0.500

Properties
The offset from the most stable computed form is 0.12 eV/f.u. The formation energy from the elements is -6 kJ/mol of formula units. The calculation puts the volume at 54.9 Å³/f.u.


(8)
The following is a PBE-GGA calculation of a geometry-optimized LiPrGaAg structure, from the Alexandria database.

Cell lengths 5.002, 5.002, 5.002 Å; angles 60.00, 60.00, 60.00 degrees
Positions (direct):
Pr1 0.750 0.750 0.750
Ga1 0.500 0.500 0.500
Ag1 0.000 0.000 0.000
Li1 0.250 0.250 0.250

Properties
The formation energy from the elements is -124 kJ/mol of formula units. The calculation puts the volume at 88.5 Å³/f.u.


(9)
The following is a PBE-GGA calculation of a geometry-optimized IrSe2S structure, from the Alexandria database.

Cell lengths 7.692, 3.200, 8.318 Å; angles 90.00, 115.62, 90.00 degrees
Positions (direct):
S1 0.160 0.000 0.738
S2 0.840 0.000 0.262
Ir1 0.352 0.000 0.043
Ir2 0.648 0.000 0.957
Se1 0.613 0.000 0.353
Se2 0.387 0.000 0.647
Se3 0.169 0.500 0.127
Se4 0.831 0.500 0.873

Properties
Its total DFT energy (no corrections) is -0.1840 Ha/atom. The calculation puts the volume at 92.3 Å³/f.u.


(10)
The following is a PBE-GGA calculation of a geometry-optimized Li4Hf3MgSe8 structure, from the Alexandria database.

Cell lengths 7.607, 7.835, 7.608 Å; angles 119.05, 120.00, 90.00 degrees
Positions (direct):
Li1 0.500 0.000 0.000
Li2 0.500 0.000 0.500
Li3 0.000 0.000 0.000
Li4 0.000 0.000 0.500
Hf1 0.500 0.500 0.000
Hf2 0.500 0.500 0.500
Hf3 0.000 0.500 0.500
Mg1 0.000 0.500 0.000
Se1 0.249 0.744 0.996
Se2 0.249 0.744 0.498
Se3 0.251 0.252 0.502
Se4 0.747 0.744 0.996
Se5 0.253 0.256 0.004
Se6 0.749 0.748 0.498
Se7 0.751 0.256 0.502
Se8 0.751 0.256 0.004

Properties
Its total DFT energy (no corrections) is -0.2012 Ha/atom. The calculation puts the volume at 325.2 Å³/f.u.


The lowest volume belongs to which entry? Li2IrRu